Record 1
First-principles (GGA-PBE) data for a relaxed Er2BeSi4Ir3 crystal, as listed in Alexandria via LeMat-Bulk.

The structure in extended XYZ format:
```
10
Lattice="-0.947 -3.853 -0.653 1.099 -0.907 3.760 -9.440 1.780 3.189" Properties=species:S:1:pos:R:3 pbc="T T T"
Er -2.854 -1.478 0.477
Er -6.511 0.877 4.265
Be -4.644 -1.490 3.148
Si 0.076 -2.380 1.553
Si 0.000 0.000 0.000
Si -6.450 -0.800 1.692
Si -2.914 0.199 3.050
Ir -4.720 0.890 1.594
Ir -8.676 -0.380 2.444
Ir -0.689 -0.220 2.298
```

Values from the calculation:
Energy relative to the elements, uncorrected in eV/atom: -0.8609
ρ in g cm⁻³: 10.476
E_tot in eV/atom: -6.97

---

Record 2
First-principles (GGA-PBE) data for a relaxed KCa2I crystal, as listed in Alexandria via LeMat-Bulk.

The structure in extended XYZ format:
```
8
Lattice="10.336 0.000 0.000 0.000 10.336 0.000 5.168 5.168 3.700" Properties=species:S:1:pos:R:3 pbc="T T T"
I 0.000 0.000 0.000
I 10.336 5.168 1.850
Ca 8.459 2.584 0.925
Ca 1.877 7.752 0.925
Ca 7.752 7.045 2.775
Ca 12.920 13.627 2.775
K 5.168 5.168 0.000
K 5.168 10.336 1.850
```

Values from the calculation:
Energy relative to the elements, uncorrected in eV/atom: -0.2776
ρ in g cm⁻³: 2.068
E_tot in eV/atom: -1.94

---

Record 3
First-principles (GGA-PBE) data for a relaxed CeBeNi4 crystal, as listed in Alexandria via LeMat-Bulk.

The structure in extended XYZ format:
```
12
Lattice="3.582 0.000 0.000 0.000 6.330 0.000 0.000 0.000 6.902" Properties=species:S:1:pos:R:3 pbc="T T T"
Ce 0.000 4.013 5.176
Ce 0.000 2.317 1.725
Be 0.000 1.223 5.176
Be 0.000 5.107 1.725
Ni 0.000 0.000 3.451
Ni 0.000 0.000 0.000
Ni 1.791 6.111 5.176
Ni 1.791 0.219 1.725
Ni 1.791 4.463 0.407
Ni 1.791 1.867 6.494
Ni 1.791 4.463 3.044
Ni 1.791 1.867 3.858
```

Values from the calculation:
ρ in g cm⁻³: 8.149
E_tot in eV/atom: -5.78
Energy of formation from the pure elements in eV per atom: -0.3180

---

Record 4
First-principles (GGA-PBE) data for a relaxed SrSiI2 crystal, as listed in Alexandria via LeMat-Bulk.

The structure in extended XYZ format:
```
8
Lattice="5.599 0.000 0.000 0.000 5.599 0.000 2.799 2.799 10.051" Properties=species:S:1:pos:R:3 pbc="T T T"
I 4.043 1.400 2.513
I 1.556 4.199 2.513
I 4.199 4.355 7.538
I 6.999 6.842 7.538
Sr 0.000 0.000 0.000
Sr 5.599 2.799 5.026
Si 2.799 2.799 0.000
Si 2.799 5.599 5.026
```

Values from the calculation:
Energy relative to the elements, uncorrected in eV/atom: -0.2637
ρ in g cm⁻³: 3.895
E_tot in eV/atom: -2.81

---

Record 5
First-principles (GGA-PBE) data for a relaxed BaY2PdPt crystal, as listed in Alexandria via LeMat-Bulk.

The structure in extended XYZ format:
```
5
Lattice="5.361 0.000 0.000 0.000 6.138 0.000 0.000 0.000 5.361" Properties=species:S:1:pos:R:3 pbc="T T T"
Y 0.000 0.000 2.681
Y 2.681 0.000 0.000
Pd 2.681 3.069 2.681
Ba 0.000 3.069 0.000
Pt 0.000 0.000 0.000
```

Values from the calculation:
ρ in g cm⁻³: 5.804
E_tot in eV/atom: -5.43
Energy of formation from the pure elements in eV per atom: -0.2178

---

Record 6
First-principles (GGA-PBE) data for a relaxed Be4TcCl crystal, as listed in Alexandria via LeMat-Bulk.

The structure in extended XYZ format:
```
6
Lattice="0.000 3.159 3.159 3.159 0.000 3.159 3.159 3.159 0.000" Properties=species:S:1:pos:R:3 pbc="T T T"
Be 2.344 3.973 3.973
Be 3.973 3.973 2.344
Be 3.973 2.344 3.973
Be 2.344 2.344 2.344
Tc 0.000 0.000 0.000
Cl 4.738 4.738 4.738
```

Values from the calculation:
Energy relative to the elements, uncorrected in eV/atom: 0.3341
ρ in g cm⁻³: 4.466
E_tot in eV/atom: -4.19

---

Record 7
First-principles (GGA-PBE) data for a relaxed Sc2Pd3Pt crystal, as listed in Alexandria via LeMat-Bulk.

The structure in extended XYZ format:
```
12
Lattice="-6.057 -2.617 -4.871 2.675 -4.746 -0.777 -0.732 1.643 6.932" Properties=species:S:1:pos:R:3 pbc="T T T"
Sc -3.188 -2.110 1.916
Sc -5.055 -2.442 -2.488
Sc 0.941 -3.278 3.772
Sc -0.926 -3.609 -0.632
Pd -2.360 -2.495 -2.630
Pd -1.022 -4.868 -3.018
Pd -4.984 -1.204 -0.059
Pd -0.468 -2.142 1.733
Pd 0.870 -4.516 1.344
Pd -3.647 -3.577 -0.448
Pt 1.338 -2.373 -0.388
Pt 0.000 0.000 0.000
```

Values from the calculation:
ρ in g cm⁻³: 8.572
E_tot in eV/atom: -6.31
Energy of formation from the pure elements in eV per atom: -0.6012

---

Record 8
First-principles (GGA-PBE) data for a relaxed Ca2NbReGe crystal, as listed in Alexandria via LeMat-Bulk.

The structure in extended XYZ format:
```
5
Lattice="5.346 0.000 0.000 0.000 4.967 0.000 0.000 0.000 5.346" Properties=species:S:1:pos:R:3 pbc="T T T"
Re 2.673 2.484 2.673
Nb 0.000 2.484 0.000
Ca 0.000 0.000 2.673
Ca 2.673 0.000 0.000
Ge 0.000 0.000 0.000
```

Values from the calculation:
ρ in g cm⁻³: 5.052
E_tot in eV/atom: -5.03
Energy of formation from the pure elements in eV per atom: 1.1951

---

Record 9
First-principles (GGA-PBE) data for a relaxed SrZr2Rh crystal, as listed in Alexandria via LeMat-Bulk.

The structure in extended XYZ format:
```
4
Lattice="5.073 0.000 0.000 2.536 4.393 0.000 2.536 1.464 4.142" Properties=species:S:1:pos:R:3 pbc="T T T"
Rh 5.073 2.929 2.071
Sr 7.609 4.393 3.106
Zr 0.000 0.000 0.000
Zr 2.536 1.464 1.035
```

Values from the calculation:
ρ in g cm⁻³: 6.711
E_tot in eV/atom: -6.20
Energy of formation from the pure elements in eV per atom: 0.3344

---

Record 10
First-principles (GGA-PBE) data for a relaxed NdDy6Tm2Th3 crystal, as listed in Alexandria via LeMat-Bulk.

The structure in extended XYZ format:
```
12
Lattice="-0.362 5.834 1.972 -4.476 -4.010 1.392 7.236 -3.528 8.539" Properties=species:S:1:pos:R:3 pbc="T T T"
Nd 0.000 0.000 0.000
Dy 2.466 0.378 8.984
Dy -1.795 0.473 4.691
Dy -0.068 -2.082 2.919
Dy 1.091 -2.912 8.790
Dy 4.192 -2.177 7.212
Dy 1.307 1.208 3.113
Tm -3.106 -0.731 1.585
Tm -1.733 2.554 1.779
Th -0.174 -4.137 5.758
Th 2.572 2.433 6.145
Th 1.199 -0.852 5.952
```

Values from the calculation:
ρ in g cm⁻³: 9.390
E_tot in eV/atom: -5.28
Energy of formation from the pure elements in eV per atom: 0.0234

---

Which value of E_tot does entry 10 give?
-5.28 eV/atom

---

Which of these has the lowest ρ?
KCa2I